A relaxed structure of Fe, computed with PBE.

Structure (POSCAR):
```
Fe
1.0
4.4817 0.0000 0.0000
0.0000 4.4817 0.0000
0.0000 0.0000 4.4817
Fe
8
direct
0.0000 0.0000 0.0000
0.0000 0.2500 0.5000
0.0000 0.7500 0.5000
0.2500 0.5000 0.0000
0.5000 0.0000 0.2500
0.5000 0.0000 0.7500
0.5000 0.5000 0.5000
0.7500 0.5000 0.0000
```

Summary:
formation enthalpy at 0 K: 9 kJ/mol of formula units
SG: Pm-3n
relative energy among the computed polymorphs: 0.0895 eV/atom
total moment: 2.10 μB/f.u.